DFT (PBE) results for a geometry-optimized CaGeW3 structure.

- Formation enthalpy at 0 K: 1.479 eV/atom
- Fermi-level density of states: 5.65 states/eV/f.u.
- Offset from the most stable computed form: 0 meV/atom
- Uncorrected energy: -38.08 eV per cell
- Calculated density: 10.43 g cm⁻³
- M_tot: 0.00 μB per cell
- Symmetry: Pm-3m

Cell: 4.7282 4.7282 4.7282 Å, 90.00 90.00 90.00°
Last column: nearest neighbours and their distance in Å.
Element x y z (fractional)
Ca  0.0000  0.0000  0.0000  12 W 3.34
Ge  0.5000  0.5000  0.5000  6 W 2.36
W  0.0000  0.5000  0.5000  2 Ge 2.36
W  0.5000  0.0000  0.5000  2 Ge 2.36
W  0.5000  0.5000  0.0000  2 Ge 2.36

***

DFT (PBE) results for a geometry-optimized CaGeW2 structure.

- Formation enthalpy at 0 K: 0.921 eV/atom
- Fermi-level density of states: 3.06 states/eV/f.u.
- Uncorrected energy: -57.68 eV per cell
- Calculated density: 8.45 g cm⁻³
- M_tot: 0.00 μB per cell
- Symmetry: I-42d

Cell: 9.9300 9.9300 9.9300 Å, 153.94 153.94 37.19°
Last column: nearest neighbours and their distance in Å.
Element x y z (fractional)
Ca  0.0000  0.0000  0.0000  4 Ge 3.17, 4 W 3.17
Ca  0.7500  0.2500  0.5000  4 Ge 3.17, 4 W 3.17
Ge  0.2500  0.7500  0.5000  4 W 2.64
Ge  0.5000  0.5000  0.0000  4 W 2.64
W  0.2783  0.6250  0.1533  2 W 2.40, 2 Ge 2.64
W  0.3750  0.5283  0.6533  2 W 2.40, 2 Ge 2.64
W  0.4717  0.1250  0.8467  2 W 2.40, 2 Ge 2.64
W  0.8750  0.7217  0.3467  2 W 2.40, 2 Ge 2.64

***

DFT (PBE) results for a geometry-optimized CaGe2W2 structure.

- Formation enthalpy at 0 K: 0.301 eV/atom
- Fermi-level density of states: 2.82 states/eV/f.u.
- Offset from the most stable computed form: 78 meV/atom
- Uncorrected energy: -71.28 eV per cell
- Calculated density: 10.12 g cm⁻³
- M_tot: 0.00 μB per cell
- Symmetry: P4/mbm

Cell: 7.8306 7.8306 2.9604 Å, 90.00 90.00 90.00°
Last column: nearest neighbours and their distance in Å.
Element x y z (fractional)
Ca  0.0000  0.0000  0.0000  2 Ca 2.96, 4 W 3.15, 8 Ge 3.25
Ca  0.5000  0.5000  0.0000  2 Ca 2.96, 4 W 3.15, 8 Ge 3.25
Ge  0.1743  0.3257  0.5000  6 W 2.74-2.77, 2 Ge 2.96
Ge  0.3257  0.8257  0.5000  6 W 2.74-2.77, 2 Ge 2.96
Ge  0.6743  0.1743  0.5000  6 W 2.74-2.77, 2 Ge 2.96
Ge  0.8257  0.6743  0.5000  6 W 2.74-2.77, 2 Ge 2.96
W  0.1147  0.6147  0.0000  1 W 2.54, 6 Ge 2.74-2.77
W  0.3853  0.1147  0.0000  1 W 2.54, 6 Ge 2.74-2.77
W  0.6147  0.8853  0.0000  1 W 2.54, 6 Ge 2.74-2.77
W  0.8853  0.3853  0.0000  1 W 2.54, 6 Ge 2.74-2.77

***

DFT (PBE) results for a geometry-optimized CaGeW3 structure.

- Formation enthalpy at 0 K: 3.239 eV/atom
- Fermi-level density of states: 7.45 states/eV/f.u.
- Offset from the most stable computed form: 1760 meV/atom
- Uncorrected energy: -29.28 eV per cell
- Calculated density: 10.88 g cm⁻³
- M_tot: 0.00 μB per cell
- Symmetry: Pm-3m

Cell: 4.6622 4.6622 4.6622 Å, 90.00 90.00 90.00°
Last column: nearest neighbours and their distance in Å.
Element x y z (fractional)
Ca  0.0000  0.0000  0.0000  6 W 2.33
Ge  0.5000  0.5000  0.5000  12 W 3.30
W  0.0000  0.0000  0.5000  2 Ca 2.33
W  0.0000  0.5000  0.0000  2 Ca 2.33
W  0.5000  0.0000  0.0000  2 Ca 2.33

***

DFT (PBE) results for a geometry-optimized CaYGe2W structure.

- Formation enthalpy at 0 K: 0.449 eV/atom
- Fermi-level density of states: 5.09 states/eV/f.u.
- Uncorrected energy: -28.41 eV per cell
- Calculated density: 5.94 g cm⁻³
- M_tot: 0.00 μB per cell
- Symmetry: P4/mmm

Cell: 4.9535 4.9535 5.2204 Å, 90.00 90.00 90.00°
Last column: nearest neighbours and their distance in Å.
Element x y z (fractional)
Ca  0.0000  0.0000  0.0000  2 W 2.61
Y  0.5000  0.5000  0.0000  4 Ca 3.50, 8 Ge 3.60
Ge  0.0000  0.5000  0.5000  2 W 2.48
Ge  0.5000  0.0000  0.5000  2 W 2.48
W  0.0000  0.0000  0.5000  4 Ge 2.48, 2 Ca 2.61

***

DFT (PBE) results for a geometry-optimized CaZnGeW2 structure.

- Formation enthalpy at 0 K: 2.766 eV/atom
- Fermi-level density of states: 6.69 states/eV/f.u.
- Uncorrected energy: -19.97 eV per cell
- Calculated density: 8.18 g cm⁻³
- M_tot: 0.00 μB per cell
- Symmetry: P4/mmm

Cell: 4.7237 4.7237 4.9627 Å, 90.00 90.00 90.00°
Last column: nearest neighbours and their distance in Å.
Element x y z (fractional)
Ca  0.0000  0.0000  0.0000  4 W 2.36, 2 Zn 2.48
Zn  0.0000  0.0000  0.5000  2 Ca 2.48
Ge  0.5000  0.5000  0.5000  4 Zn 3.34, 8 W 3.43
W  0.0000  0.5000  0.0000  2 Ca 2.36
W  0.5000  0.0000  0.0000  2 Ca 2.36

***

DFT (PBE) results for a geometry-optimized CaYGe2 structure.

- Formation enthalpy at 0 K: -0.744 eV/atom
- Fermi-level density of states: 2.55 states/eV/f.u.
- Uncorrected energy: -20.67 eV per cell
- Calculated density: 4.79 g cm⁻³
- M_tot: 0.00 μB per cell
- Symmetry: Amm2

Cell: 3.9656 5.8592 5.8592 Å, 44.27 90.00 90.00°
Last column: nearest neighbours and their distance in Å.
Element x y z (fractional)
Ca  0.0000  0.0000  0.0000  7 Ge 3.01-3.27
Y  0.5000  0.7232  0.7232  7 Ge 3.03-3.22
Ge  0.0000  0.2777  0.2777  2 Ge 2.65
Ge  0.5000  0.4392  0.4392  2 Ge 2.65

***

DFT (PBE) results for a geometry-optimized Ca2YGe2 structure.

- Formation enthalpy at 0 K: -0.522 eV/atom
- Fermi-level density of states: 2.55 states/eV/f.u.
- Offset from the most stable computed form: 0 meV/atom
- Uncorrected energy: -44.63 eV per cell
- Calculated density: 3.98 g cm⁻³
- M_tot: 0.00 μB per cell
- Symmetry: P4/mbm

Cell: 8.4849 8.4849 3.6426 Å, 90.00 90.00 90.00°
Last column: nearest neighbours and their distance in Å.
Element x y z (fractional)
Ca  0.1344  0.3656  0.0000  6 Ge 2.97-3.18, 1 Ca 3.22
Ca  0.3656  0.8656  0.0000  6 Ge 2.97-3.18, 1 Ca 3.22
Ca  0.6344  0.1344  0.0000  6 Ge 2.97-3.18, 1 Ca 3.22
Ca  0.8656  0.6344  0.0000  6 Ge 2.97-3.18, 1 Ca 3.22
Y  0.0000  0.0000  0.5000  4 Ge 3.15
Y  0.5000  0.5000  0.5000  4 Ge 3.15
Ge  0.1704  0.6704  0.5000  6 Ca 2.97-3.18, 2 Y 3.15
Ge  0.3296  0.1704  0.5000  6 Ca 2.97-3.18, 2 Y 3.15
Ge  0.6704  0.8296  0.5000  6 Ca 2.97-3.18, 2 Y 3.15
Ge  0.8296  0.3296  0.5000  6 Ca 2.97-3.18, 2 Y 3.15